Record 1
MgHg2H after structural relaxation, computed with PBE-GGA.

```
data_MgHg2H
_chemical_formula_sum 'Mg2 Hg4 H2'
_space_group_name_H-M_alt 'P 1'
_space_group_IT_number 1
_cell_length_a 5.7966
_cell_length_b 5.7966
_cell_length_c 5.7966
_cell_angle_alpha 105.31
_cell_angle_beta 105.31
_cell_angle_gamma 118.16
loop_
_space_group_symop_operation_xyz
'x,y,z'
loop_
_atom_site_label
_atom_site_type_symbol
_atom_site_fract_x
_atom_site_fract_y
_atom_site_fract_z
Mg1 Mg 0.0000 0.0000 0.0000
Mg2 Mg 0.7500 0.2500 0.5000
Hg1 Hg 0.1951 0.1250 0.5701
Hg2 Hg 0.3750 0.8049 0.9299
Hg3 Hg 0.5549 0.6250 0.4299
Hg4 Hg 0.8750 0.4451 0.0701
H1 H 0.2500 0.7500 0.5000
H2 H 0.5000 0.5000 0.0000
```

Calculated volume (Å³/f.u.): 73.66
DOS(E_F) (states/eV per cell): 2.1
Energy above the most stable polymorph in this dataset (meV/atom): 0
Crystal system: tetragonal

---

Record 2
Li3ErHg4 after structural relaxation, computed with PBE-GGA.

```
data_Li3ErHg4
_chemical_formula_sum 'Li3 Er1 Hg4'
_space_group_name_H-M_alt 'P 1'
_space_group_IT_number 1
_cell_length_a 8.4820
_cell_length_b 8.4820
_cell_length_c 8.4820
_cell_angle_alpha 33.33
_cell_angle_beta 33.33
_cell_angle_gamma 33.33
loop_
_space_group_symop_operation_xyz
'x,y,z'
loop_
_atom_site_label
_atom_site_type_symbol
_atom_site_fract_x
_atom_site_fract_y
_atom_site_fract_z
Li1 Li 0.0000 0.0000 0.0000
Li2 Li 0.2521 0.2521 0.2521
Li3 Li 0.7479 0.7479 0.7479
Er1 Er 0.5000 0.5000 0.5000
Hg1 Hg 0.1178 0.1178 0.1178
Hg2 Hg 0.3719 0.3719 0.3719
Hg3 Hg 0.6281 0.6281 0.6281
Hg4 Hg 0.8822 0.8822 0.8822
```

Calculated volume (Å³/f.u.): 164.01
DOS(E_F) (states/eV per cell): 3.5
Formation enthalpy at 0 K (eV/atom): -0.378
Crystal system: trigonal

---

Record 3
LiPrEuGd after structural relaxation, computed with PBE-GGA.

```
data_LiPrEuGd
_chemical_formula_sum 'Li1 Pr1 Eu1 Gd1'
_space_group_name_H-M_alt 'P 1'
_space_group_IT_number 1
_cell_length_a 5.7080
_cell_length_b 5.7080
_cell_length_c 5.7080
_cell_angle_alpha 60.00
_cell_angle_beta 60.00
_cell_angle_gamma 60.00
loop_
_space_group_symop_operation_xyz
'x,y,z'
loop_
_atom_site_label
_atom_site_type_symbol
_atom_site_fract_x
_atom_site_fract_y
_atom_site_fract_z
Li1 Li 0.0000 0.0000 0.0000
Pr1 Pr 0.7500 0.7500 0.7500
Eu1 Eu 0.2500 0.2500 0.2500
Gd1 Gd 0.5000 0.5000 0.5000
```

Calculated volume (Å³/f.u.): 131.50
DOS(E_F) (states/eV per cell): 6.3
Formation enthalpy at 0 K (eV/atom): 0.201
Crystal system: cubic

---

Record 4
RbCa3Pt after structural relaxation, computed with PBE-GGA.

```
data_RbCa3Pt
_chemical_formula_sum 'Rb1 Ca3 Pt1'
_space_group_name_H-M_alt 'P 1'
_space_group_IT_number 1
_cell_length_a 5.8126
_cell_length_b 5.8126
_cell_length_c 5.8126
_cell_angle_alpha 90.00
_cell_angle_beta 90.00
_cell_angle_gamma 90.00
loop_
_space_group_symop_operation_xyz
'x,y,z'
loop_
_atom_site_label
_atom_site_type_symbol
_atom_site_fract_x
_atom_site_fract_y
_atom_site_fract_z
Rb1 Rb 0.0000 0.0000 0.0000
Ca1 Ca 0.0000 0.5000 0.5000
Ca2 Ca 0.5000 0.0000 0.5000
Ca3 Ca 0.5000 0.5000 0.0000
Pt1 Pt 0.5000 0.5000 0.5000
```

Calculated volume (Å³/f.u.): 196.39
DOS(E_F) (states/eV per cell): 3.5
Energy above the most stable polymorph in this dataset (meV/atom): 0
Formation enthalpy at 0 K (eV/atom): -0.377
Crystal system: cubic

---

Record 5
Sr2MgHg4 after structural relaxation, computed with PBE-GGA.

```
data_Sr2MgHg4
_chemical_formula_sum 'Sr2 Mg1 Hg4'
_space_group_name_H-M_alt 'P 1'
_space_group_IT_number 1
_cell_length_a 11.3088
_cell_length_b 11.3088
_cell_length_c 11.3088
_cell_angle_alpha 24.54
_cell_angle_beta 24.54
_cell_angle_gamma 24.54
loop_
_space_group_symop_operation_xyz
'x,y,z'
loop_
_atom_site_label
_atom_site_type_symbol
_atom_site_fract_x
_atom_site_fract_y
_atom_site_fract_z
Sr1 Sr 0.2492 0.2492 0.2492
Sr2 Sr 0.7508 0.7508 0.7508
Mg1 Mg 0.0000 0.0000 0.0000
Hg1 Hg 0.1438 0.1438 0.1438
Hg2 Hg 0.3612 0.3612 0.3612
Hg3 Hg 0.6388 0.6388 0.6388
Hg4 Hg 0.8562 0.8562 0.8562
```

Calculated volume (Å³/f.u.): 219.34
DOS(E_F) (states/eV per cell): 4.4
Formation enthalpy at 0 K (eV/atom): -0.355
Crystal system: trigonal

---

Record 6
Cs2Zr3PaO12 after structural relaxation, computed with PBE-GGA.

```
data_Cs2Zr3PaO12
_chemical_formula_sum 'Cs2 Zr3 Pa1 O12'
_space_group_name_H-M_alt 'P 1'
_space_group_IT_number 1
_cell_length_a 7.9077
_cell_length_b 7.9077
_cell_length_c 7.9077
_cell_angle_alpha 59.81
_cell_angle_beta 59.81
_cell_angle_gamma 59.81
loop_
_space_group_symop_operation_xyz
'x,y,z'
loop_
_atom_site_label
_atom_site_type_symbol
_atom_site_fract_x
_atom_site_fract_y
_atom_site_fract_z
Cs1 Cs 0.1235 0.1235 0.1235
Cs2 Cs 0.8765 0.8765 0.8765
Zr1 Zr 0.0000 0.5000 0.5000
Zr2 Zr 0.5000 0.0000 0.5000
Zr3 Zr 0.5000 0.5000 0.0000
Pa1 Pa 0.5000 0.5000 0.5000
O1 O 0.1805 0.5697 0.5697
O2 O 0.1864 0.1864 0.5646
O3 O 0.1864 0.5646 0.1864
O4 O 0.4303 0.4303 0.8195
O5 O 0.4303 0.8195 0.4303
O6 O 0.4354 0.8136 0.8136
O7 O 0.5646 0.1864 0.1864
O8 O 0.5697 0.1805 0.5697
O9 O 0.5697 0.5697 0.1805
O10 O 0.8136 0.4354 0.8136
O11 O 0.8136 0.8136 0.4354
O12 O 0.8195 0.4303 0.4303
```

Calculated volume (Å³/f.u.): 348.10
ΔE_f (raw) (eV/atom): -2.3749
DOS(E_F) (states/eV per cell): 10.1
Crystal system: trigonal